Below is a relaxed structure of Ba2LuBiO6, with properties calculated at the PBE-GGA level.

## Properties
Final energy (eV/atom): -6.664
Crystal system: trigonal

Structure (CIF):
```
data_Ba2LuBiO6
_chemical_formula_sum 'Ba6 Lu3 Bi3 O18'
_symmetry_space_group_name_H-M 'R -3'
_symmetry_Int_Tables_number 148
_symmetry_space_group_name_Hall '-R 3'
_cell_length_a 6.0329
_cell_length_b 6.0329
_cell_length_c 14.7252
_cell_angle_alpha 90.00
_cell_angle_beta 90.00
_cell_angle_gamma 120.00
loop_
_atom_site_label
_atom_site_type_symbol
_atom_site_fract_x
_atom_site_fract_y
_atom_site_fract_z
Ba1 Ba 0.0000 0.0000 0.2491
Lu1 Lu 0.0000 0.0000 0.5000
Bi1 Bi 0.0000 0.0000 0.0000
O1 O 0.0049 0.4862 0.7492
```